# 1
Below is CaAlBrO2 after structural relaxation, with properties calculated at the PBE-GGA level.

a = 3.836 Å, b = 6.575 Å, c = 7.508 Å
α = 100.33°, β = 90.00°, γ = 90.00°
Positions (direct):
O 0.250 0.040 0.650
Br 0.750 0.432 0.256
Al 0.250 0.954 0.859
O 0.750 0.994 0.893
Ca 0.750 0.200 0.616
O 0.750 0.960 0.350
Ca 0.250 0.800 0.384
Br 0.250 0.568 0.744
O 0.250 0.006 0.107
Al 0.750 0.046 0.141

Computed properties:
Total magnetization   0.000 μB/cell
E   -60.55 eV per cell
Mass density   3.19 g/cm3
Formation energy from raw total energies   -2.59 eV/atom

=====

# 2
Below is CaAlOs2Br after structural relaxation, with properties calculated at the PBE-GGA level.

a = 5.041 Å, b = 5.783 Å, c = 5.041 Å
α = 90.00°, β = 90.00°, γ = 90.00°
Site moments in Bohr magnetons follow the coordinates.
Positions (direct):
Os 0.000 0.000 0.500  1.92
Br 0.500 0.500 0.500  0.15
Ca 0.000 0.000 0.000  -0.06
Al 0.000 0.500 0.000  -0.01
Os 0.500 0.000 0.000  2.16

Computed properties:
Total magnetization   4.584 μB/cell
E   -17.56 eV per cell
Mass density   5.96 g/cm3
Formation energy from raw total energies   2.46 eV/atom

=====

# 3
Below is CaAl2RhBr after structural relaxation, with properties calculated at the PBE-GGA level.

a = 4.978 Å, b = 5.182 Å, c = 4.978 Å
α = 90.00°, β = 90.00°, γ = 90.00°
Positions (direct):
Br 0.000 0.000 0.000
Al 0.000 0.000 0.500
Al 0.500 0.000 0.000
Rh 0.500 0.500 0.500
Ca 0.000 0.500 0.000

Computed properties:
Total magnetization   0.000 μB/cell
E   -15.07 eV per cell
Mass density   3.58 g/cm3
Formation energy from raw total energies   0.69 eV/atom

=====

# 4
Below is CaTaAl2Br after structural relaxation, with properties calculated at the PBE-GGA level.

a = 5.492 Å, b = 5.050 Å, c = 5.492 Å
α = 90.00°, β = 90.00°, γ = 90.00°
Site moments in Bohr magnetons follow the coordinates.
Positions (direct):
Al 0.000 0.000 0.500  0.01
Ta 0.500 0.500 0.500  -0.28
Br 0.000 0.500 0.000  0.01
Al 0.500 0.000 0.000  0.02
Ca 0.000 0.000 0.000  0.02

Computed properties:
Total magnetization   0.241 μB/cell
E   -15.41 eV per cell
Mass density   3.87 g/cm3
Formation energy from raw total energies   1.52 eV/atom

=====

# 5
Below is CaTa2AlBr after structural relaxation, with properties calculated at the PBE-GGA level.

a = 4.780 Å, b = 5.377 Å, c = 4.780 Å
α = 90.00°, β = 90.00°, γ = 90.00°
Positions (direct):
Al 0.000 0.500 0.000
Ta 0.000 0.000 0.500
Br 0.000 0.000 0.000
Ta 0.500 0.000 0.000
Ca 0.500 0.500 0.500

Computed properties:
Total magnetization   0.000 μB/cell
E   -25.60 eV per cell
Mass density   6.88 g/cm3
Formation energy from raw total energies   1.10 eV/atom

=====

# 6
Below is Ca2YAlBr after structural relaxation, with properties calculated at the PBE-GGA level.

a = 6.510 Å, b = 5.318 Å, c = 6.510 Å
α = 90.00°, β = 90.00°, γ = 90.00°
Positions (direct):
Br 0.000 0.500 0.000
Ca 0.500 0.000 0.000
Y 0.000 0.000 0.000
Ca 0.000 0.000 0.500
Al 0.500 0.500 0.500

Computed properties:
Total magnetization   0.000 μB/cell
E   -13.66 eV per cell
Mass density   2.03 g/cm3
Formation energy from raw total energies   0.44 eV/atom

=====

# 7
Below is AlCd2Br after structural relaxation, with properties calculated at the PBE-GGA level.

a = 5.314 Å, b = 5.314 Å, c = 5.314 Å
α = 60.00°, β = 60.00°, γ = 60.00°
Positions (direct):
Al 0.000 0.000 0.000
Cd 0.750 0.750 0.750
Br 0.500 0.500 0.500
Cd 0.250 0.250 0.250

Computed properties:
Total magnetization   0.000 μB/cell
E   -6.46 eV per cell
Mass density   5.19 g/cm3
Distance to the lowest polymorph of the same formula   0.2718 eV/atom
Formation energy from raw total energies   0.20 eV/atom

=====

# 8
Below is AlCd2Br after structural relaxation, with properties calculated at the PBE-GGA level.

a = 6.259 Å, b = 6.259 Å, c = 6.259 Å
α = 149.78°, β = 124.92°, γ = 64.12°
Positions (direct):
Al 0.506 0.506 0.000
Cd 0.275 0.775 0.500
Cd 0.014 0.014 0.000
Br 0.705 0.205 0.500

Computed properties:
Total magnetization   0.000 μB/cell
E   -7.18 eV per cell
Mass density   5.50 g/cm3
Distance to the lowest polymorph of the same formula   0.0906 eV/atom
Formation energy from raw total energies   0.02 eV/atom

=====

- What is the formula in the seventh record?
  AlCd2Br